Material: Zr2ZnNi6
Method: DFT, PBE
State: relaxed

Final energy ... -56.18 eV for the cell shown
E_form ... -0.346 eV per atom
N(E_F) ... 4.50 states/eV/cell

Lattice parameters (Å, degrees): 5.1084 5.1084 5.4431 90.05 90.05 59.97
Last column: nearest neighbours and their distance in Å.
Positions (direct):
Zr1 0.1666 0.1666 0.1594  9 Ni 2.72-3.00
Zr2 0.8334 0.8334 0.8406  9 Ni 2.72-3.00
Zn1 0.5000 0.5000 0.0000  6 Ni 2.38
Ni1 0.1478 0.6761 0.3297  1 Zn 2.38, 4 Ni 2.41-2.42
Ni2 0.3234 0.3234 0.6700  1 Zn 2.38, 4 Ni 2.41-2.42
Ni3 0.3239 0.8522 0.6703  1 Zn 2.38, 4 Ni 2.41-2.42
Ni4 0.6761 0.1478 0.3297  1 Zn 2.38, 4 Ni 2.41-2.42
Ni5 0.6766 0.6766 0.3300  1 Zn 2.38, 4 Ni 2.41-2.42
Ni6 0.8522 0.3239 0.6703  1 Zn 2.38, 4 Ni 2.41-2.42

---

Material: Pr2NpSe5
Method: DFT, PBE
State: relaxed

Final energy ... -104.88 eV for the cell shown
Energy relative to the elements, uncorrected ... -1.56 eV per atom
N(E_F) ... 11.41 states/eV/cell

Lattice parameters (Å, degrees): 8.0712 12.5276 4.2464 90.00 90.00 90.00
Last column: nearest neighbours and their distance in Å.
Positions (direct):
Pr1 0.0327 0.1747 0.0000  8 Se 3.06-3.19
Pr2 0.4673 0.6747 0.0000  8 Se 3.06-3.19
Pr3 0.5327 0.3253 0.0000  8 Se 3.06-3.19
Pr4 0.9673 0.8253 0.0000  8 Se 3.06-3.19
Np1 0.0000 0.5000 0.5000  6 Se 2.80-2.87
Np2 0.5000 0.0000 0.5000  6 Se 2.80-2.87
Se1 0.0000 0.0000 0.5000  4 Pr 3.06
Se2 0.1709 0.4045 0.0000  2 Np 2.80, 2 Pr 3.08-3.09
Se3 0.1751 0.6994 0.5000  1 Np 2.87, 4 Pr 3.13-3.19
Se4 0.3249 0.1994 0.5000  1 Np 2.87, 4 Pr 3.13-3.19
Se5 0.3291 0.9045 0.0000  2 Np 2.80, 2 Pr 3.08-3.09
Se6 0.5000 0.5000 0.5000  4 Pr 3.06
Se7 0.6709 0.0955 0.0000  2 Np 2.80, 2 Pr 3.08-3.09
Se8 0.6751 0.8006 0.5000  1 Np 2.87, 4 Pr 3.13-3.19
Se9 0.8249 0.3006 0.5000  1 Np 2.87, 4 Pr 3.13-3.19
Se10 0.8291 0.5955 0.0000  2 Np 2.80, 2 Pr 3.08-3.09

---

Material: Tb2PrTmBi4
Method: DFT, PBE
State: relaxed

Final energy ... -40.97 eV for the cell shown
E_form ... -0.866 eV per atom
N(E_F) ... 1.21 states/eV/cell

Lattice parameters (Å, degrees): 7.8204 4.5206 7.8260 90.00 109.49 90.00
Last column: nearest neighbours and their distance in Å.
Positions (direct):
Tb1 0.0000 0.0000 0.0000  6 Bi 3.21
Tb2 0.5000 0.5000 0.0000  6 Bi 3.15
Pr1 0.0000 0.5000 0.5000  6 Bi 3.24
Tm1 0.5000 0.0000 0.5000  6 Bi 3.18
Bi1 0.2562 0.5000 0.2497  3 Tb 3.15-3.21, 2 Tm 3.18, 1 Pr 3.24
Bi2 0.2579 0.0000 0.7550  3 Tb 3.15-3.21, 1 Tm 3.18, 2 Pr 3.24
Bi3 0.7421 0.0000 0.2450  3 Tb 3.15-3.21, 1 Tm 3.18, 2 Pr 3.24
Bi4 0.7438 0.5000 0.7503  3 Tb 3.15-3.21, 2 Tm 3.18, 1 Pr 3.24

---

Material: Rb3CeBr6
Method: DFT, PBE
State: relaxed

Final energy ... -73.95 eV for the cell shown
Energy relative to the elements, uncorrected ... -1.81 eV per atom
N(E_F) ... 16.32 states/eV/cell

Lattice parameters (Å, degrees): 8.2346 8.7960 14.2591 90.00 124.01 90.00
Last column: nearest neighbours and their distance in Å.
Positions (direct):
Rb1 0.0000 0.0000 0.0000  6 Br 3.39-3.48
Rb2 0.0000 0.5000 0.5000  6 Br 3.39-3.48
Rb3 0.2148 0.0748 0.7436  6 Br 3.48-3.82
Rb4 0.2148 0.4252 0.2436  6 Br 3.48-3.82
Rb5 0.7852 0.5748 0.7564  6 Br 3.48-3.82
Rb6 0.7852 0.9252 0.2564  6 Br 3.48-3.82
Ce1 0.5000 0.0000 0.5000  6 Br 2.92-2.94
Ce2 0.5000 0.5000 0.0000  6 Br 2.92-2.94
Br1 0.1572 0.1780 0.4437  1 Ce 2.92
Br2 0.1572 0.3220 0.9437  1 Ce 2.92
Br3 0.2560 0.7243 0.4232  1 Ce 2.94
Br4 0.2560 0.7757 0.9232  1 Ce 2.94
Br5 0.4018 0.0581 0.2714  1 Ce 2.93
Br6 0.4018 0.4419 0.7714  1 Ce 2.93
Br7 0.5982 0.5581 0.2286  1 Ce 2.93
Br8 0.5982 0.9419 0.7286  1 Ce 2.93
Br9 0.7440 0.2243 0.0768  1 Ce 2.94
Br10 0.7440 0.2757 0.5768  1 Ce 2.94
Br11 0.8428 0.6780 0.0563  1 Ce 2.92
Br12 0.8428 0.8220 0.5563  1 Ce 2.92

---

Material: ZrBeSb2
Method: DFT, PBE
State: relaxed

Final energy ... -18.68 eV for the cell shown
Energy relative to the elements, uncorrected ... 0.46 eV per atom
N(E_F) ... 3.01 states/eV/cell

Lattice parameters (Å, degrees): 4.9889 4.9889 4.9889 60.00 60.00 60.00
Last column: nearest neighbours and their distance in Å.
Positions (direct):
Zr1 0.0000 0.0000 0.0000  4 Sb 3.06, 4 Be 3.06
Be1 0.2500 0.2500 0.2500  4 Zr 3.06, 4 Sb 3.06
Sb1 0.5000 0.5000 0.5000  4 Sb 3.06, 4 Be 3.06
Sb2 0.7500 0.7500 0.7500  4 Sb 3.06, 4 Zr 3.06

---

Material: Dy2Pd3Au2
Method: DFT, PBE
State: relaxed

Final energy ... -36.17 eV for the cell shown
E_form ... -0.690 eV per atom
N(E_F) ... 3.16 states/eV/cell
Energy relative to the lowest polymorph listed for this composition ... 0 meV/atom

Lattice parameters (Å, degrees): 5.2967 5.2967 8.3224 117.39 117.39 45.50
Last column: nearest neighbours and their distance in Å.
Positions (direct):
Dy1 0.2019 0.2019 0.2746  6 Pd 2.85-2.97, 4 Au 3.05-3.10
Dy2 0.7981 0.7981 0.7254  6 Pd 2.85-2.97, 4 Au 3.05-3.10
Pd1 0.4661 0.4661 0.6421  2 Pd 2.76-2.83, 2 Au 2.80, 4 Dy 2.85-2.96
Pd2 0.5000 0.5000 0.0000  2 Pd 2.83, 4 Dy 2.97, 6 Au 3.00
Pd3 0.5339 0.5339 0.3579  2 Pd 2.76-2.83, 2 Au 2.80, 4 Dy 2.85-2.96
Au1 0.1541 0.1541 0.8778  5 Pd 2.80-3.00, 2 Au 2.84, 4 Dy 3.05-3.10
Au2 0.8459 0.8459 0.1222  5 Pd 2.80-3.00, 2 Au 2.84, 4 Dy 3.05-3.10

---

Repeat the sixth record exactly.
Material: Dy2Pd3Au2
Method: DFT, PBE
State: relaxed

Final energy ... -36.17 eV for the cell shown
E_form ... -0.690 eV per atom
N(E_F) ... 3.16 states/eV/cell
Energy relative to the lowest polymorph listed for this composition ... 0 meV/atom

Lattice parameters (Å, degrees): 5.2967 5.2967 8.3224 117.39 117.39 45.50
Last column: nearest neighbours and their distance in Å.
Positions (direct):
Dy1 0.2019 0.2019 0.2746  6 Pd 2.85-2.97, 4 Au 3.05-3.10
Dy2 0.7981 0.7981 0.7254  6 Pd 2.85-2.97, 4 Au 3.05-3.10
Pd1 0.4661 0.4661 0.6421  2 Pd 2.76-2.83, 2 Au 2.80, 4 Dy 2.85-2.96
Pd2 0.5000 0.5000 0.0000  2 Pd 2.83, 4 Dy 2.97, 6 Au 3.00
Pd3 0.5339 0.5339 0.3579  2 Pd 2.76-2.83, 2 Au 2.80, 4 Dy 2.85-2.96
Au1 0.1541 0.1541 0.8778  5 Pd 2.80-3.00, 2 Au 2.84, 4 Dy 3.05-3.10
Au2 0.8459 0.8459 0.1222  5 Pd 2.80-3.00, 2 Au 2.84, 4 Dy 3.05-3.10

---

Q: Number 6 is which compound?
A: Dy2Pd3Au2